Computed, not measured: crystalline Sr9Ni7O21 at its relaxed geometry at the GGA+U level of DFT.

Values from the calculation:
For the total moment, the calculation gives 0.10 μB per atom. The symmetry is R-3c, No. 167. Its total energy is -5.46 eV/atom. Its volume is 12.9 A^3/atom.

Lattice parameters (Å, degrees): 13.220 13.220 13.220 42.43 42.43 42.43
Positions (direct):
Sr  0.004  0.365  0.716
Sr  0.075  0.750  0.425
Sr  0.135  0.496  0.784
Sr  0.216  0.865  0.504
Sr  0.250  0.575  0.925
Sr  0.284  0.996  0.635
Sr  0.365  0.716  0.004
Sr  0.425  0.075  0.750
Sr  0.496  0.784  0.135
Sr  0.504  0.216  0.865
Sr  0.575  0.925  0.250
Sr  0.635  0.284  0.996
Sr  0.716  0.004  0.365
Sr  0.750  0.425  0.075
Sr  0.784  0.135  0.496
Sr  0.865  0.504  0.216
Sr  0.925  0.250  0.575
Sr  0.996  0.635  0.284
Ni  0.000  0.000  0.000
Ni  0.068  0.068  0.068
Ni  0.141  0.141  0.141
Ni  0.215  0.215  0.215
Ni  0.285  0.285  0.285
Ni  0.359  0.359  0.359
Ni  0.432  0.432  0.432
Ni  0.500  0.500  0.500
Ni  0.568  0.568  0.568
Ni  0.641  0.641  0.641
Ni  0.715  0.715  0.715
Ni  0.785  0.785  0.785
Ni  0.859  0.859  0.859
Ni  0.932  0.932  0.932
O  0.026  0.184  0.345
O  0.042  0.927  0.736
O  0.052  0.870  0.175
O  0.073  0.264  0.958
O  0.100  0.400  0.250
O  0.130  0.825  0.948
O  0.155  0.316  0.474
O  0.175  0.052  0.870
O  0.184  0.345  0.026
O  0.236  0.427  0.542
O  0.250  0.100  0.400
O  0.264  0.958  0.073
O  0.316  0.474  0.155
O  0.325  0.630  0.448
O  0.345  0.026  0.184
O  0.370  0.552  0.675
O  0.400  0.250  0.100
O  0.427  0.542  0.236
O  0.448  0.325  0.630
O  0.458  0.764  0.573
O  0.474  0.155  0.316
O  0.526  0.845  0.684
O  0.542  0.236  0.427
O  0.552  0.675  0.370
O  0.573  0.458  0.764
O  0.600  0.750  0.900
O  0.630  0.448  0.325
O  0.655  0.974  0.816
O  0.675  0.370  0.552
O  0.684  0.526  0.845
O  0.736  0.042  0.927
O  0.750  0.900  0.600
O  0.764  0.573  0.458
O  0.816  0.655  0.974
O  0.825  0.948  0.130
O  0.845  0.684  0.526
O  0.870  0.175  0.052
O  0.900  0.600  0.750
O  0.927  0.736  0.042
O  0.948  0.130  0.825
O  0.958  0.073  0.264
O  0.974  0.816  0.655